The following is a GGA+U calculation of crystalline K3Pr3CoO8 at its relaxed geometry, from the Alexandria database.

a b c (Å): 7.5077 7.5077 7.5077
angles (deg): 56.01 56.01 56.01
Fractional positions:
K1 0.0000 0.5000 0.5000
K2 0.5000 0.0000 0.5000
K3 0.5000 0.5000 0.0000
Pr1 0.0000 0.0000 0.5000
Pr2 0.0000 0.5000 0.0000
Pr3 0.5000 0.0000 0.0000
Co1 0.5000 0.5000 0.5000
O1 0.2314 0.2314 0.2314
O2 0.2663 0.7040 0.7040
O3 0.2960 0.2960 0.7337
O4 0.2960 0.7337 0.2960
O5 0.7040 0.2663 0.7040
O6 0.7040 0.7040 0.2663
O7 0.7337 0.2960 0.2960
O8 0.7686 0.7686 0.7686

Results
The total energy comes out at -6.261 eV/atom.